28
Lattice="9.6292 -1.4339 0.0000 9.6292 1.4339 0.0000 -4.0886 0.0000 8.7583" Properties=species:S:1:pos:R:3 comment="Li4MnCo2O7 | Alexandria | GGA+U | relaxed" density_g_cm3=4.3 final_energy_ev_per_fu=-81.6 spacegroup="Cm (8)" volume_a3_per_atom=8.6 dos_at_fermi_per_ev_cell=4.5 pbc="T T T"
Li 0.0000 0.0000 0.0000
Li 0.1440 0.0000 5.0092
Li 4.9419 0.0000 1.1841
Li 5.3449 0.0000 6.3747
Li 7.5686 0.0000 4.4484
Li 9.7064 0.0000 2.5697
Li 10.2382 0.0000 7.4889
Li 14.8817 0.0000 3.9567
Mn 2.6352 0.0000 3.0985
Mn 16.9952 0.0000 1.9739
Co -1.8810 0.0000 6.8756
Co 3.0637 0.0000 8.1877
Co 12.0781 0.0000 0.5995
Co 12.4926 0.0000 5.7041
O -1.0320 0.0000 3.3333
O 1.4847 0.0000 1.5061
O -0.6901 0.0000 8.4853
O 1.8637 0.0000 6.6740
O 3.8491 0.0000 4.5775
O 6.3159 0.0000 2.7300
O 8.3192 0.0000 1.0013
O 6.8374 0.0000 7.8468
O 8.7626 0.0000 6.1042
O 11.2430 0.0000 3.9029
O 13.2371 0.0000 2.1851
O 15.8025 0.0000 0.3348
O 13.7126 0.0000 7.3781
O 16.1351 0.0000 5.5383

=====

28
Lattice="2.8846 0.0000 0.0000 -1.4408 6.2659 0.0000 -1.2002 -1.2857 13.2534" Properties=species:S:1:pos:R:3 comment="Li4MnCo2O7 | Alexandria | GGA+U | relaxed" density_g_cm3=4.3 final_energy_ev_per_fu=-81.8 spacegroup="P1 (1)" volume_a3_per_atom=8.6 dos_at_fermi_per_ev_cell=0.1 pbc="T T T"
Li 0.0000 0.0000 0.0000
Li -1.4559 5.5651 2.7522
Li -1.2461 4.0607 8.4813
Li -0.0022 4.0072 0.9423
Li 0.0175 2.5159 6.5080
Li 0.2422 0.8722 12.3014
Li 1.4241 0.8612 4.6761
Li 1.6703 -0.5730 10.4575
Mn -1.2083 3.3910 11.3833
Mn 1.5717 0.1512 7.5145
Co -1.4242 4.8055 5.5909
Co 0.0145 3.2117 3.7289
Co 0.2360 1.7303 9.4588
Co 1.4683 1.5673 1.8350
O -1.2103 2.0496 8.1700
O -1.2059 1.4798 10.7381
O -0.0174 1.9452 0.6551
O 0.0328 1.3801 3.1412
O -0.0439 0.4421 6.0837
O 0.3035 -0.1411 8.9213
O 0.2315 -1.0901 11.7646
O -0.0127 6.0696 1.4806
O 0.0163 5.0455 4.3220
O 0.0272 4.5085 6.8891
O 0.2322 3.5804 10.0274
O 0.2341 2.9785 12.5996
O 1.4587 3.4432 2.4522
O 1.4588 2.9622 5.0182

=====

Respective energy relative to the lowest polymorph listed for this composition values: 0.0510 0.0410 eV/atom.